1.
First-principles (GGA-PBE) data for a relaxed structure of Tm3InTe2, as listed in the Alexandria database.

Values from the calculation:
**Density of states at the Fermi level**: 2.3 states/eV/cell
**ΔE_f (raw)**: -940 meV per atom

Cell lengths 4.1744, 6.1214, 13.4271 Å; angles 90.00, 90.00, 90.00 degrees
Atoms (fractional coordinates):
Tm 0.0000 0.0000 0.0000
Tm 0.0000 0.0000 0.3371
Tm 0.0000 0.0000 0.6629
Tm 0.5000 0.5000 0.1629
Tm 0.5000 0.5000 0.5000
Tm 0.5000 0.5000 0.8371
In 0.0000 0.5000 0.0000
In 0.5000 0.0000 0.5000
Te 0.0000 0.5000 0.3305
Te 0.0000 0.5000 0.6695
Te 0.5000 0.0000 0.1695
Te 0.5000 0.0000 0.8305

---

2.
First-principles (GGA-PBE) data for a relaxed structure of Ac5Zn4Ga, as listed in the Alexandria database.

Values from the calculation:
**Density of states at the Fermi level**: 10.8 states/eV/cell
**DFT formation energy**: -284 meV per atom

Cell lengths 3.9112, 3.9112, 19.5762 Å; angles 90.00, 90.00, 90.00 degrees
Atoms (fractional coordinates):
Ac 0.0000 0.0000 0.0000
Ac 0.0000 0.0000 0.1998
Ac 0.0000 0.0000 0.4011
Ac 0.0000 0.0000 0.5989
Ac 0.0000 0.0000 0.8002
Zn 0.5000 0.5000 0.0999
Zn 0.5000 0.5000 0.2991
Zn 0.5000 0.5000 0.7009
Zn 0.5000 0.5000 0.9001
Ga 0.5000 0.5000 0.5000

---

3.
First-principles (GGA-PBE) data for a relaxed structure of Pm8Co2Au, as listed in the Alexandria database.

Values from the calculation:
**Density of states at the Fermi level**: 12.8 states/eV/cell
**DFT formation energy**: -88 meV per atom

Cell lengths 7.8930, 7.8930, 5.7694 Å; angles 99.01, 99.01, 116.12 degrees
Atoms (fractional coordinates):
Pm 0.0853 0.3398 0.5678
Pm 0.2329 0.7671 0.0000
Pm 0.3398 0.0853 0.5678
Pm 0.3810 0.3810 0.1809
Pm 0.6190 0.6190 0.8191
Pm 0.6602 0.9147 0.4322
Pm 0.7671 0.2329 0.0000
Pm 0.9147 0.6602 0.4322
Co 0.2877 0.7123 0.5000
Co 0.7123 0.2877 0.5000
Au 0.0000 0.0000 0.0000

---

4.
First-principles (GGA-PBE) data for a relaxed structure of La6Tb2Er3, as listed in the Alexandria database.

Values from the calculation:
**Density of states at the Fermi level**: 14.6 states/eV/cell
**DFT formation energy**: 16 meV per atom

Cell lengths 32.4453, 32.4453, 32.4453 Å; angles 6.46, 6.46, 6.46 degrees
Atoms (fractional coordinates):
La 0.0898 0.0898 0.0898
La 0.1826 0.1826 0.1826
La 0.3633 0.3633 0.3633
La 0.6367 0.6367 0.6367
La 0.8174 0.8174 0.8174
La 0.9102 0.9102 0.9102
Tb 0.4534 0.4534 0.4534
Tb 0.5466 0.5466 0.5466
Er 0.0000 0.0000 0.0000
Er 0.2735 0.2735 0.2735
Er 0.7265 0.7265 0.7265

---

5.
First-principles (GGA-PBE) data for a relaxed structure of Al5CuIr4, as listed in the Alexandria database.

Values from the calculation:
**Density of states at the Fermi level**: 2.4 states/eV/cell
**DFT formation energy**: -802 meV per atom

Cell lengths 2.9890, 2.9890, 15.2945 Å; angles 90.00, 90.00, 90.00 degrees
Atoms (fractional coordinates):
Al 0.0000 0.0000 0.0000
Al 0.0000 0.0000 0.2015
Al 0.0000 0.0000 0.4029
Al 0.0000 0.0000 0.5971
Al 0.0000 0.0000 0.7985
Cu 0.5000 0.5000 0.5000
Ir 0.5000 0.5000 0.1003
Ir 0.5000 0.5000 0.3025
Ir 0.5000 0.5000 0.6975
Ir 0.5000 0.5000 0.8997

---

6.
First-principles (GGA-PBE) data for a relaxed structure of MnSiCl4, as listed in the Alexandria database.

Values from the calculation:
**Density of states at the Fermi level**: 5.2 states/eV/cell
**ΔE_f (raw)**: 853 meV per atom

Cell lengths 5.8313, 5.8313, 5.8313 Å; angles 60.00, 60.00, 60.00 degrees
Atoms (fractional coordinates):
Mn 0.0000 0.0000 0.0000
Si 0.7500 0.7500 0.7500
Cl 0.3742 0.3742 0.3742
Cl 0.3742 0.3742 0.8775
Cl 0.3742 0.8775 0.3742
Cl 0.8775 0.3742 0.3742

---

7.
First-principles (GGA-PBE) data for a relaxed structure of Ta2VAs2, as listed in the Alexandria database.

Values from the calculation:
**Density of states at the Fermi level**: 14.6 states/eV/cell
**DFT formation energy**: 229 meV per atom

Cell lengths 4.1155, 4.1155, 11.2220 Å; angles 90.00, 90.00, 90.00 degrees
Atoms (fractional coordinates):
Ta 0.0000 0.5000 0.2500
Ta 0.0000 0.5000 0.7500
Ta 0.5000 0.0000 0.2500
Ta 0.5000 0.0000 0.7500
V 0.0000 0.0000 0.0000
V 0.5000 0.5000 0.5000
As 0.0000 0.0000 0.3926
As 0.0000 0.0000 0.6074
As 0.5000 0.5000 0.1074
As 0.5000 0.5000 0.8926

---

8.
First-principles (GGA-PBE) data for a relaxed structure of ScBeTlTe3, as listed in the Alexandria database.

Values from the calculation:
**ΔE_f (raw)**: -701 meV per atom

Cell lengths 9.6265, 4.1084, 9.9454 Å; angles 90.00, 110.30, 90.00 degrees
Atoms (fractional coordinates):
Sc 0.1704 0.2500 0.1397
Sc 0.8296 0.7500 0.8603
Be 0.4211 0.7500 0.4016
Be 0.5789 0.2500 0.5984
Tl 0.2923 0.7500 0.7759
Tl 0.7077 0.2500 0.2241
Te 0.0330 0.2500 0.8300
Te 0.3048 0.2500 0.4671
Te 0.3895 0.7500 0.1446
Te 0.6105 0.2500 0.8554
Te 0.6952 0.7500 0.5329
Te 0.9670 0.7500 0.1700

---

no.,VASP energy (eV per atom)
1,-4.680
2,-3.151
3,-5.133
4,-4.758
5,-6.627
6,-2.810
7,-8.196
8,-4.342